DFT (PBE with a Hubbard U) results for a relaxed structure of ErPuCrO6.

The structure belongs to space group P-31c (No. 163); the cell edges are 5.5296, 5.5296 and 8.6987 Å and the angles 90.00°, 90.00° and 120.00°. The distinct sites, in fractional coordinates, are Er at (0.3333, 0.6667, 0.2500), Pu at (0.3333, 0.6667, 0.7500), Cr at (0.0000, 0.0000, 0.0000) and O at (0.0235, 0.3359, 0.6243).

The value obtained for the total moment is 5.0 μB/f.u. The value obtained for the raw total energy is -156.93 eV for the cell shown. As for the crystal system: trigonal. As for the volume: 12.8 A^3/atom.